Compound: Y3HoTm2P2Os
Source: OQMD via LeMat-Bulk
Functional: PBE
Structure: relaxed

abc: 4.136 7.706 7.706
angles: 120.22 90.00 90.00
Fractional coordinates of all 9 atoms:
Os (0.500, 0.004, 0.004)
Tm (0.000, 0.248, 0.000)
Tm (0.000, 0.000, 0.248)
P (0.000, 0.667, 0.331)
P (0.000, 0.331, 0.667)
Ho (0.000, 0.752, 0.752)
Y (0.500, 0.408, 0.408)
Y (0.500, 0.000, 0.589)
Y (0.500, 0.589, 0.000)

Raw total energy (eV per atom): -6.87



Compound: PmHoOs
Source: OQMD via LeMat-Bulk
Functional: PBE
Structure: relaxed

abc: 4.743 4.743 4.743
angles: 60.00 60.00 60.00
Fractional coordinates of all 3 atoms:
Ho (0.000, 0.000, 0.000)
Os (0.250, 0.250, 0.250)
Pm (0.750, 0.750, 0.750)

ΔE_f (kJ per mole of atoms): 66.26
Raw total energy (eV per atom): -6.16



Compound: PrHoOs
Source: OQMD via LeMat-Bulk
Functional: PBE
Structure: relaxed

abc: 4.775 4.775 4.775
angles: 60.00 60.00 60.00
Fractional coordinates of all 3 atoms:
Os (0.250, 0.250, 0.250)
Pr (0.750, 0.750, 0.750)
Ho (0.000, 0.000, 0.000)

ΔE_f (kJ per mole of atoms): 66.93
Raw total energy (eV per atom): -6.17



Compound: PrHoSi4Os2
Source: OQMD via LeMat-Bulk
Functional: PBE
Structure: relaxed

abc: 4.466 4.124 8.202
angles: 90.00 102.02 90.00
Fractional coordinates of all 8 atoms:
Os (0.114, 0.500, 0.883)
Os (0.880, 0.000, 0.113)
Si (0.037, 0.500, 0.591)
Si (0.962, 0.000, 0.410)
Si (0.333, 0.000, 0.003)
Si (0.664, 0.500, 0.992)
Ho (0.594, 0.000, 0.707)
Pr (0.415, 0.500, 0.302)

Raw total energy (eV per atom): -7.41



Compound: HoPuOs
Source: OQMD via LeMat-Bulk
Functional: PBE
Structure: relaxed

abc: 4.691 4.691 4.691
angles: 60.00 60.00 60.00
Fractional coordinates of all 3 atoms:
Os (0.000, 0.000, 0.000)
Pu (0.750, 0.750, 0.750)
Ho (0.250, 0.250, 0.250)

ΔE_f (kJ per mole of atoms): -6.91
Raw total energy (eV per atom): -10.05



Compound: RbHoOs
Source: OQMD via LeMat-Bulk
Functional: PBE
Structure: relaxed

abc: 4.929 4.929 4.929
angles: 60.00 60.00 60.00
Fractional coordinates of all 3 atoms:
Os (0.000, 0.000, 0.000)
Ho (0.250, 0.250, 0.250)
Rb (0.750, 0.750, 0.750)

Raw total energy (eV per atom): -4.45



Compound: HoSbOs
Source: OQMD via LeMat-Bulk
Functional: PBE
Structure: relaxed

abc: 4.619 4.619 4.619
angles: 60.00 60.00 60.00
Fractional coordinates of all 3 atoms:
Sb (0.750, 0.750, 0.750)
Os (0.000, 0.000, 0.000)
Ho (0.250, 0.250, 0.250)

Raw total energy (eV per atom): -6.88



Compound: HoTm3Sc2Sb2Os
Source: OQMD via LeMat-Bulk
Functional: PBE
Structure: relaxed

abc: 4.093 8.001 8.001
angles: 120.42 90.00 90.00
Fractional coordinates of all 9 atoms:
Os (0.000, 0.996, 0.996)
Sb (0.500, 0.332, 0.672)
Sb (0.500, 0.672, 0.332)
Tm (0.500, 0.998, 0.238)
Tm (0.500, 0.757, 0.757)
Tm (0.500, 0.238, 0.998)
Sc (0.000, 0.001, 0.613)
Sc (0.000, 0.613, 0.001)
Ho (0.000, 0.393, 0.393)

Raw total energy (eV per atom): -6.20



Compound: Ho3TmSc2Sb2Os
Source: OQMD via LeMat-Bulk
Functional: PBE
Structure: relaxed

abc: 4.076 8.059 8.059
angles: 120.56 90.00 90.00
Fractional coordinates of all 9 atoms:
Sb (0.500, 0.671, 0.332)
Sb (0.500, 0.332, 0.671)
Tm (0.000, 0.391, 0.391)
Sc (0.000, 0.610, 0.000)
Sc (0.000, 0.000, 0.610)
Ho (0.500, 0.997, 0.241)
Ho (0.500, 0.757, 0.757)
Ho (0.500, 0.241, 0.997)
Os (0.000, 0.001, 0.001)

Raw total energy (eV per atom): -6.19



Compound: HoTm2Sc3Sb2Os
Source: OQMD via LeMat-Bulk
Functional: PBE
Structure: relaxed

abc: 4.161 7.785 7.785
angles: 120.01 90.00 90.00
Fractional coordinates of all 9 atoms:
Os (0.000, 0.997, 0.997)
Tm (0.000, 0.609, 0.001)
Tm (0.000, 0.001, 0.609)
Ho (0.000, 0.393, 0.393)
Sc (0.500, 0.000, 0.229)
Sc (0.500, 0.770, 0.770)
Sc (0.500, 0.229, 0.000)
Sb (0.500, 0.333, 0.668)
Sb (0.500, 0.668, 0.333)

Raw total energy (eV per atom): -6.51



Compound: YHo2Sc3Sb2Os
Source: OQMD via LeMat-Bulk
Functional: PBE
Structure: relaxed

abc: 4.184 7.800 7.800
angles: 119.84 90.00 90.00
Fractional coordinates of all 9 atoms:
Sc (0.500, 0.772, 0.001)
Sc (0.500, 0.228, 0.228)
Sc (0.500, 0.001, 0.772)
Ho (0.000, 0.394, 0.000)
Ho (0.000, 0.000, 0.394)
Sb (0.500, 0.667, 0.333)
Sb (0.500, 0.333, 0.667)
Os (0.000, 0.002, 0.002)
Y (0.000, 0.604, 0.604)

Raw total energy (eV per atom): -6.76



Compound: Y3HoSc2Sb2Os
Source: OQMD via LeMat-Bulk
Functional: PBE
Structure: relaxed

abc: 4.187 7.942 7.942
angles: 119.78 90.00 90.00
Fractional coordinates of all 9 atoms:
Y (0.000, 0.609, 0.609)
Y (0.000, 0.000, 0.400)
Y (0.000, 0.400, 0.000)
Sb (0.500, 0.673, 0.335)
Sb (0.500, 0.335, 0.673)
Sc (0.500, 0.769, 0.000)
Sc (0.500, 0.000, 0.769)
Os (0.000, 0.984, 0.984)
Ho (0.500, 0.228, 0.228)

Raw total energy (eV per atom): -6.97



Compound: Y2HoSc3Sb2Os
Source: OQMD via LeMat-Bulk
Functional: PBE
Structure: relaxed

abc: 4.182 7.820 7.820
angles: 120.06 90.00 90.00
Fractional coordinates of all 9 atoms:
Sc (0.500, 0.227, 0.227)
Sc (0.500, 0.000, 0.773)
Sc (0.500, 0.773, 0.000)
Os (0.000, 0.000, 0.000)
Y (0.000, 0.395, 0.000)
Y (0.000, 0.000, 0.395)
Sb (0.500, 0.667, 0.334)
Sb (0.500, 0.334, 0.667)
Ho (0.000, 0.605, 0.605)

Raw total energy (eV per atom): -6.98



Compound: Y2Ho3ScSb2Os
Source: OQMD via LeMat-Bulk
Functional: PBE
Structure: relaxed

abc: 4.156 8.100 8.100
angles: 119.77 90.00 90.00
Fractional coordinates of all 9 atoms:
Y (0.000, 0.001, 0.397)
Y (0.000, 0.397, 0.001)
Sc (0.000, 0.612, 0.612)
Ho (0.500, 0.759, 0.998)
Ho (0.500, 0.998, 0.759)
Ho (0.500, 0.236, 0.236)
Os (0.000, 0.993, 0.993)
Sb (0.500, 0.665, 0.340)
Sb (0.500, 0.340, 0.665)

Raw total energy (eV per atom): -6.48



Compound: Y3Ho2ScSb2Os
Source: OQMD via LeMat-Bulk
Functional: PBE
Structure: relaxed

abc: 4.191 8.064 8.064
angles: 119.73 90.00 90.00
Fractional coordinates of all 9 atoms:
Y (0.500, 0.609, 0.000)
Y (0.500, 0.000, 0.609)
Y (0.500, 0.410, 0.410)
Sb (0.000, 0.340, 0.670)
Sb (0.000, 0.670, 0.340)
Ho (0.000, 0.002, 0.233)
Ho (0.000, 0.233, 0.002)
Os (0.500, 0.973, 0.973)
Sc (0.000, 0.763, 0.763)

Raw total energy (eV per atom): -6.75



Compound: YHo3Sc2Sb2Os
Source: OQMD via LeMat-Bulk
Functional: PBE
Structure: relaxed

abc: 4.095 8.056 8.056
angles: 120.18 90.00 90.00
Fractional coordinates of all 9 atoms:
Os (0.000, 0.993, 0.993)
Sc (0.000, 0.001, 0.612)
Sc (0.000, 0.612, 0.001)
Ho (0.500, 0.998, 0.239)
Ho (0.500, 0.239, 0.998)
Ho (0.500, 0.756, 0.756)
Sb (0.500, 0.673, 0.332)
Sb (0.500, 0.332, 0.673)
Y (0.000, 0.396, 0.396)

Raw total energy (eV per atom): -6.42



Compound: Ho3Tm3Sb2Os
Source: OQMD via LeMat-Bulk
Functional: PBE
Structure: relaxed

abc: 8.125 8.125 4.186
angles: 90.00 90.00 120.00
Fractional coordinates of all 9 atoms:
Tm (0.609, 0.000, 0.000)
Tm (0.391, 0.391, 0.000)
Tm (0.000, 0.609, 0.000)
Sb (0.333, 0.667, 0.500)
Sb (0.667, 0.333, 0.500)
Ho (0.761, 0.761, 0.500)
Ho (0.000, 0.239, 0.500)
Ho (0.239, 0.000, 0.500)
Os (0.000, 0.000, 0.000)

Raw total energy (eV per atom): -5.83



Compound: Ho3Tm3Sb2Os
Source: OQMD via LeMat-Bulk
Functional: PBE
Structure: relaxed

abc: 8.102 8.102 4.199
angles: 90.00 90.00 120.00
Fractional coordinates of all 9 atoms:
Ho (0.000, 0.608, 0.000)
Ho (0.392, 0.392, 0.000)
Ho (0.608, 0.000, 0.000)
Sb (0.333, 0.667, 0.500)
Sb (0.667, 0.333, 0.500)
Os (0.000, 0.000, 0.000)
Tm (0.235, 0.000, 0.500)
Tm (0.000, 0.235, 0.500)
Tm (0.765, 0.765, 0.500)

Raw total energy (eV per atom): -5.87



Compound: Y3Ho2TmSb2Os
Source: OQMD via LeMat-Bulk
Functional: PBE
Structure: relaxed

abc: 4.215 8.148 8.148
angles: 119.89 90.00 90.00
Fractional coordinates of all 9 atoms:
Ho (0.000, 0.000, 0.235)
Ho (0.000, 0.235, 0.000)
Y (0.500, 0.396, 0.396)
Y (0.500, 0.000, 0.605)
Y (0.500, 0.605, 0.000)
Tm (0.000, 0.765, 0.765)
Sb (0.000, 0.667, 0.335)
Sb (0.000, 0.335, 0.667)
Os (0.500, 0.997, 0.997)

Raw total energy (eV per atom): -6.53



Compound: Y3HoTm2Sb2Os
Source: OQMD via LeMat-Bulk
Functional: PBE
Structure: relaxed

abc: 4.214 8.139 8.139
angles: 120.00 90.00 90.00
Fractional coordinates of all 9 atoms:
Os (0.500, 0.002, 0.002)
Tm (0.000, 0.234, 0.000)
Tm (0.000, 0.000, 0.234)
Y (0.500, 0.000, 0.605)
Y (0.500, 0.605, 0.000)
Y (0.500, 0.394, 0.394)
Sb (0.000, 0.667, 0.332)
Sb (0.000, 0.332, 0.667)
Ho (0.000, 0.765, 0.765)

Raw total energy (eV per atom): -6.53



Compound: YHo2Tm3Sb2Os
Source: OQMD via LeMat-Bulk
Functional: PBE
Structure: relaxed

abc: 4.208 8.103 8.103
angles: 119.80 90.00 90.00
Fractional coordinates of all 9 atoms:
Tm (0.500, 0.765, 0.000)
Tm (0.500, 0.235, 0.235)
Tm (0.500, 0.000, 0.765)
Sb (0.500, 0.667, 0.333)
Sb (0.500, 0.333, 0.667)
Os (0.000, 0.002, 0.002)
Ho (0.000, 0.392, 0.000)
Ho (0.000, 0.000, 0.392)
Y (0.000, 0.605, 0.605)

Raw total energy (eV per atom): -6.09



Compound: Y2HoTm3Sb2Os
Source: OQMD via LeMat-Bulk
Functional: PBE
Structure: relaxed

abc: 4.213 8.125 8.125
angles: 120.19 90.00 90.00
Fractional coordinates of all 9 atoms:
Tm (0.500, 0.235, 0.000)
Tm (0.500, 0.765, 0.765)
Tm (0.500, 0.000, 0.235)
Sb (0.500, 0.333, 0.666)
Sb (0.500, 0.666, 0.333)
Os (0.000, 0.002, 0.002)
Ho (0.000, 0.392, 0.392)
Y (0.000, 0.605, 0.000)
Y (0.000, 0.000, 0.605)

Raw total energy (eV per atom): -6.31



Compound: YHo5Sb2Os
Source: OQMD via LeMat-Bulk
Functional: PBE
Structure: relaxed

abc: 4.206 8.155 8.155
angles: 119.76 90.00 90.00
Fractional coordinates of all 9 atoms:
Sb (0.500, 0.333, 0.667)
Sb (0.500, 0.667, 0.333)
Y (0.000, 0.604, 0.604)
Ho (0.000, 0.000, 0.393)
Ho (0.500, 0.237, 0.237)
Ho (0.500, 0.000, 0.763)
Ho (0.000, 0.393, 0.000)
Ho (0.500, 0.763, 0.000)
Os (0.000, 0.002, 0.002)

Raw total energy (eV per atom): -6.10



Compound: Y2Ho4Sb2Os
Source: OQMD via LeMat-Bulk
Functional: PBE
Structure: relaxed

abc: 4.207 8.170 8.170
angles: 120.21 90.00 90.00
Fractional coordinates of all 9 atoms:
Ho (0.000, 0.394, 0.394)
Ho (0.500, 0.001, 0.237)
Ho (0.500, 0.237, 0.001)
Ho (0.500, 0.763, 0.763)
Sb (0.500, 0.333, 0.666)
Sb (0.500, 0.666, 0.333)
Y (0.000, 0.000, 0.604)
Y (0.000, 0.604, 0.000)
Os (0.000, 0.002, 0.002)

Raw total energy (eV per atom): -6.32



Compound: Ho3Zr3Sb2Os
Source: OQMD via LeMat-Bulk
Functional: PBE
Structure: relaxed

abc: 7.967 7.967 4.004
angles: 90.00 90.00 120.00
Fractional coordinates of all 9 atoms:
Ho (0.399, 0.399, 0.000)
Ho (0.601, 0.000, 0.000)
Ho (0.000, 0.601, 0.000)
Os (0.000, 0.000, 0.000)
Sb (0.667, 0.333, 0.500)
Sb (0.333, 0.667, 0.500)
Zr (0.764, 0.764, 0.500)
Zr (0.000, 0.236, 0.500)
Zr (0.236, 0.000, 0.500)

Raw total energy (eV per atom): -7.17